Entry from Alexandria: a relaxed CeMg3Cd3 crystal (GGA-PBE).

Geometry as extended XYZ:
```
14
Lattice="7.5472 0.0000 0.0000 0.0000 7.5472 0.0000 0.0000 0.0000 7.5472" Properties=species:S:1:pos:R:3 pbc="T T T"
Mg 1.8868 0.0000 3.7736
Mg 0.0000 3.7736 1.8868
Mg 3.7736 5.6604 0.0000
Mg 5.6604 0.0000 3.7736
Mg 0.0000 3.7736 5.6604
Mg 3.7736 1.8868 0.0000
Ce 3.7736 3.7736 3.7736
Ce 0.0000 0.0000 0.0000
Cd 0.0000 1.8868 3.7736
Cd 0.0000 5.6604 3.7736
Cd 3.7736 0.0000 5.6604
Cd 5.6604 3.7736 0.0000
Cd 3.7736 0.0000 1.8868
Cd 1.8868 3.7736 0.0000
```

- Formation energy from the elements: 0.394 eV per atom
- Space group: Pm-3n

Entry from Alexandria: a relaxed KSmAu crystal (GGA-PBE).

Geometry as extended XYZ:
```
6
Lattice="7.2976 4.4791 0.7700 4.4436 7.3193 0.7700 -5.2802 -5.3059 5.7295" Properties=species:S:1:pos:R:3 pbc="T T T"
K 6.9491 6.9830 5.4999
K -0.4882 -0.4906 1.7697
Sm 3.6300 3.6477 5.3934
Sm 2.8309 2.8447 1.8762
Au -0.9087 -0.9131 5.5978
Au 7.3696 7.4055 1.6718
```

- Formation energy from the elements: -0.239 eV per atom
- Space group: C2/m

Entry from Alexandria: a relaxed KZr3Pd crystal (GGA-PBE).

Geometry as extended XYZ:
```
5
Lattice="-1.3610 5.0317 -0.5904 -4.8196 -1.4744 -1.4548 -1.5613 0.1650 5.0054" Properties=species:S:1:pos:R:3 pbc="T T T"
K -3.8710 1.8612 1.4801
Zr -2.4098 -0.7372 -0.7274
Zr -0.7807 0.0825 2.5027
Zr -0.6805 2.5158 -0.2952
Pd 0.0000 0.0000 0.0000
```

- Formation energy from the elements: 0.646 eV per atom
- Space group: Pm-3m
- Energy above the most stable polymorph in this dataset: 0 meV per atom

Entry from Alexandria: a relaxed YBeC2 crystal (GGA-PBE).

Geometry as extended XYZ:
```
8
Lattice="-2.5122 -2.6416 1.4988 1.6977 0.3915 3.5356 -4.1275 3.1573 3.8293" Properties=species:S:1:pos:R:3 pbc="T T T"
Y 0.0000 0.0000 0.0000
Y -3.5235 -0.3047 3.9226
Be -0.4073 -1.1251 2.5172
Be -1.4186 1.2119 4.9410
C -1.7625 -0.1532 1.9618
C -0.9121 0.0442 3.7286
C -2.9772 1.6220 5.6427
C -4.2322 0.3014 6.3942
```

- Formation energy from the elements: 0.277 eV per atom
- Space group: I4_1/amd

Entry from Alexandria: a relaxed MgIn2Si crystal (GGA-PBE).

Geometry as extended XYZ:
```
4
Lattice="8.8437 0.0078 0.0046 8.1410 3.4548 0.0046 8.1410 1.6597 3.0301" Properties=species:S:1:pos:R:3 pbc="T T T"
In 0.1647 0.0336 0.0199
In 12.3981 2.5276 1.4997
Mg 6.2814 1.2806 0.7598
Si 18.8442 3.8418 2.2795
```

- Space group: R-3m
- Energy above the most stable polymorph in this dataset: 80 meV per atom
- Formation energy (no corrections): 196 meV/atom

Entry from Alexandria: a relaxed Cd5Ag24 crystal (GGA-PBE).

Geometry as extended XYZ:
```
29
Lattice="8.9134 0.0000 0.0000 -2.9711 8.4037 0.0000 -2.9711 -4.2018 7.2778" Properties=species:S:1:pos:R:3 pbc="T T T"
Ag -4.2413 4.1904 4.5067
Ag -4.2413 1.8077 5.8824
Ag -0.5777 1.5999 2.7711
Ag 6.0893 0.8056 1.3954
Ag 5.3645 -2.6019 4.5067
Ag 3.1181 -3.3962 5.8824
Ag -1.2702 6.0095 1.3954
Ag 1.7010 -0.0114 2.7711
Ag -1.2702 -1.7963 5.9021
Ag 1.7010 2.4055 1.3756
Ag 3.1181 6.7924 0.0000
Ag 5.3645 5.2039 0.0000
Ag -2.6737 0.1685 4.2689
Ag -2.6737 3.6127 2.2804
Ag 4.0213 1.7372 3.0089
Ag -1.6449 2.8852 4.9974
Ag 1.0501 -2.4647 4.2689
Ag 4.2974 -1.3166 2.2804
Ag 3.2685 -0.5891 4.9974
Ag 0.2974 4.3703 3.0089
Ag 3.2685 4.6224 1.9885
Ag 0.2974 0.4206 5.2893
Ag 4.2974 2.6332 0.0000
Ag 1.0501 4.9293 0.0000
Cd -1.0526 -1.4887 2.5784
Cd -1.0526 2.9773 0.0000
Cd 1.9185 2.7132 4.6993
Cd 3.1579 0.0000 0.0000
Cd 0.0000 0.0000 0.0000
```

- Formation energy from the elements: 0.051 eV per atom
- Space group: I-43m

Entry from Alexandria: a relaxed Tb2SmYTm2 crystal (GGA-PBE).

Geometry as extended XYZ:
```
12
Lattice="3.4997 0.0000 0.0000 0.0000 16.0842 0.0000 0.0000 0.0000 6.9410" Properties=species:S:1:pos:R:3 pbc="T T T"
Tb 1.7498 13.5174 1.7287
Tb 1.7498 2.5669 5.2123
Tb 0.0000 10.6090 5.1992
Tb 0.0000 5.4753 1.7418
Sm 1.7498 8.0421 0.0000
Sm 0.0000 0.0000 3.4705
Y 0.0000 0.0000 0.0000
Y 1.7498 8.0421 3.4705
Tm 1.7498 2.4844 1.7451
Tm 0.0000 10.5265 1.7253
Tm 1.7498 13.5998 5.1958
Tm 0.0000 5.5577 5.2156
```

- Formation energy from the elements: 0.166 eV per atom
- Space group: Pnnm

Entry from Alexandria: a relaxed MgAl3Au4 crystal (GGA-PBE).

Geometry as extended XYZ:
```
8
Lattice="-2.3699 -0.7806 3.8223 1.1407 -4.4159 -0.1945 5.9043 3.8077 1.7129" Properties=species:S:1:pos:R:3 pbc="T T T"
Mg -1.1850 -0.3903 1.9112
Au 3.9288 0.8951 2.6188
Au 0.7463 -2.2838 2.7219
Au 1.3636 0.3035 0.9074
Au 3.3115 -1.6922 4.4332
Al 0.5704 -2.2079 -0.0973
Al 1.4532 0.2187 3.6713
Al 3.2219 -1.6074 1.6694
```

- Formation energy from the elements: -0.371 eV per atom
- Space group: C2/m

Entry from Alexandria: a relaxed GeH2S2 crystal (GGA-PBE).

Geometry as extended XYZ:
```
10
Lattice="3.7659 0.5930 -1.3922 0.5247 3.7761 -1.3921 -3.0572 -3.1123 15.9519" Properties=species:S:1:pos:R:3 pbc="T T T"
Ge -0.0548 -1.7699 14.5594
Ge 0.5699 0.6748 6.5840
H -1.7273 0.8586 11.8850
H -0.0134 2.2328 3.9094
H -0.9988 1.2294 9.2586
H 0.3445 2.9675 1.2824
S -2.2571 -1.6053 13.6280
S 1.2986 2.2512 4.2604
S -0.9938 -0.0828 8.9077
S 2.7984 3.5421 -0.4609
```

- Space group: C2/c
- Energy above the most stable polymorph in this dataset: 0 meV per atom

Entry from Alexandria: a relaxed Cs3Cd2In2Bi4 crystal (GGA-PBE).

Geometry as extended XYZ:
```
11
Lattice="5.1117 0.0000 0.0000 -2.5559 4.4269 0.0000 0.0000 0.0000 21.2854" Properties=species:S:1:pos:R:3 pbc="T T T"
Cs 0.0000 0.0000 15.2993
Cs 0.0000 0.0000 0.0000
Cs 0.0000 0.0000 5.9860
Cd 2.5559 1.4756 18.2770
Cd 0.0000 2.9513 3.0083
In 2.5559 1.4756 9.5443
In 0.0000 2.9513 11.7410
Bi 2.5559 1.4756 3.0183
Bi 0.0000 2.9513 18.2671
Bi 2.5559 1.4756 12.6119
Bi 0.0000 2.9513 8.6735
```

- Formation energy from the elements: -0.275 eV per atom
- Space group: P-3m1

Entry from Alexandria: a relaxed BaSbPd3 crystal (GGA-PBE).

Geometry as extended XYZ:
```
5
Lattice="5.0994 0.0000 0.0000 0.0000 5.0994 0.0000 0.0000 0.0000 5.0994" Properties=species:S:1:pos:R:3 pbc="T T T"
Sb 0.0000 0.0000 0.0000
Ba 2.5497 2.5497 2.5497
Pd 0.0000 2.5497 0.0000
Pd 0.0000 0.0000 2.5497
Pd 2.5497 0.0000 0.0000
```

- Space group: Pm-3m
- Energy above the most stable polymorph in this dataset: 226 meV per atom
- Formation energy (no corrections): -408 meV/atom

Entry from Alexandria: a relaxed As2SeBrN crystal (GGA-PBE).

Geometry as extended XYZ:
```
5
Lattice="-0.8751 4.3987 -1.1054 -4.5330 -0.8108 0.3622 0.1416 1.0822 4.1944" Properties=species:S:1:pos:R:3 pbc="T T T"
As -2.2665 -0.4054 0.1811
As -0.4376 2.1994 -0.5527
Se 0.0708 0.5411 2.0972
Br -2.6332 2.3351 1.7257
N 0.0000 0.0000 0.0000
```

- Space group: P4/mmm
- Energy above the most stable polymorph in this dataset: 0 meV per atom
- Formation energy (no corrections): 985 meV/atom

no.,magnetic moment (μB per cell),DFT total energy (eV/cell),Fermi-level density of states (states/eV/f.u.)
1,3.246,-21.4,12.05
2,0.000,-19.6,1.91
3,0.000,-28.7,5.80
4,0.000,-55.1,1.34
5,0.000,-11.7,1.23
6,0.000,-71.5,13.42
7,0.001,-56.8,9.55
8,0.000,-28.9,2.79
9,0.000,-40.8,0.00
10,0.000,-28.4,0.51
11,0.000,-23.7,4.95
12,0.000,-17.9,2.67